## KLaIO2 (GGA-PBE)

Data for a relaxed KLaIO2 crystal.

POSCAR file:
```
KLaIO2
1.0
4.608 0.000 0.000
0.000 4.608 0.000
0.000 0.000 6.833
K La I O
1 1 1 2
direct
0.000 0.000 0.000
0.500 0.500 0.500
0.500 0.500 0.000
0.000 0.500 0.500
0.500 0.000 0.500
```

Spin magnetization   0.00 μB per formula unit
Mass density   3.9 Mg/m³
ΔE to the lowest computed polymorph   0.0 meV/atom
Uncorrected formation energy   -1829 meV per atom